<i>
KSi2Au | PBEsol | relaxed

The structure in extended XYZ format:
```
4
Lattice="3.281 0.000 0.000 0.000 3.281 0.000 0.000 0.000 7.609" Properties=species:S:1:pos:R:3 pbc="T T T"
K 0.000 0.000 0.000
Si 0.000 0.000 3.681
Si 1.640 1.640 2.477
Au 1.640 1.640 5.067
```

Properties
N(E_F)   1.715 states/eV/f.u.

=====

<ii>
KSi2Au | PBEsol | relaxed

The structure in extended XYZ format:
```
8
Lattice="7.396 0.000 0.000 0.000 3.987 0.000 -2.129 0.000 6.394" Properties=species:S:1:pos:R:3 pbc="T T T"
K 0.000 0.000 0.000
K 3.698 1.993 0.000
Si 0.261 0.000 4.010
Si 1.309 1.993 2.385
Si 3.958 1.993 4.010
Si 5.006 0.000 2.385
Au -1.064 1.993 3.197
Au 2.633 0.000 3.197
```

Properties
N(E_F)   0.754 states/eV/f.u.

=====

<iii>
KSi2Au | PBEsol | relaxed

The structure in extended XYZ format:
```
16
Lattice="6.698 0.000 0.000 0.000 6.698 0.000 0.000 0.000 6.698" Properties=species:S:1:pos:R:3 pbc="T T T"
K 0.000 0.000 0.000
K 0.000 3.349 3.349
K 3.349 0.000 3.349
K 3.349 3.349 0.000
Si 1.674 1.674 1.674
Si 1.674 1.674 5.023
Si 1.674 5.023 1.674
Si 1.674 5.023 5.023
Si 5.023 1.674 1.674
Si 5.023 1.674 5.023
Si 5.023 5.023 1.674
Si 5.023 5.023 5.023
Au 0.000 0.000 3.349
Au 0.000 3.349 0.000
Au 3.349 0.000 0.000
Au 3.349 3.349 3.349
```

Properties
N(E_F)   1.225 states/eV/f.u.

=====

Name the most stable of them. <ii>.

=====

<i>
KTaAu2 | PBEsol | relaxed

The structure in extended XYZ format:
```
8
Lattice="4.661 0.000 0.000 0.000 5.078 0.000 0.000 0.000 6.880" Properties=species:S:1:pos:R:3 pbc="T T T"
K 0.000 0.000 0.000
K 2.331 2.539 3.440
Ta 0.000 0.000 3.440
Ta 2.331 2.539 0.000
Au 0.000 2.539 1.561
Au 0.000 2.539 5.320
Au 2.331 0.000 1.879
Au 2.331 0.000 5.001
```

Properties
N(E_F)   3.834 states/eV/f.u.

=====

<ii>
KTaAu2 | PBEsol | relaxed

The structure in extended XYZ format:
```
4
Lattice="2.869 0.000 0.000 0.000 3.795 0.000 0.000 0.000 7.987" Properties=species:S:1:pos:R:3 pbc="T T T"
K 0.000 0.000 0.000
Ta 0.000 0.000 3.994
Au 1.434 1.897 2.517
Au 1.434 1.897 5.470
```

Properties
N(E_F)   2.107 states/eV/f.u.

=====

Name the most stable of them. <ii>.

=====

<i>
KTa2Au | PBEsol | relaxed

The structure in extended XYZ format:
```
8
Lattice="10.014 0.000 0.000 0.000 2.797 0.000 -1.136 0.000 7.067" Properties=species:S:1:pos:R:3 pbc="T T T"
K 0.000 0.000 0.000
K 5.007 1.399 0.000
Ta 1.323 0.000 4.081
Ta 4.070 0.000 3.672
Ta 6.330 1.399 4.081
Ta 9.077 1.399 3.672
Au 2.392 1.399 1.903
Au 7.399 0.000 1.903
```

Properties
N(E_F)   2.671 states/eV/f.u.

=====

<ii>
KTa2Au | PBEsol | relaxed

The structure in extended XYZ format:
```
4
Lattice="3.268 0.000 0.000 0.000 3.268 0.000 0.000 0.000 8.808" Properties=species:S:1:pos:R:3 pbc="T T T"
K 0.000 0.000 0.000
Ta 0.000 0.000 4.665
Ta 1.634 1.634 3.215
Au 1.634 1.634 6.310
```

Properties
N(E_F)   3.483 states/eV/f.u.

=====

<iii>
KTa2Au | PBEsol | relaxed

The structure in extended XYZ format:
```
8
Lattice="2.826 0.000 0.000 0.000 5.718 0.000 0.000 0.000 10.795" Properties=species:S:1:pos:R:3 pbc="T T T"
K 0.000 0.000 0.000
K 1.413 2.859 5.398
Ta 0.000 0.000 5.446
Ta 0.000 2.859 8.631
Ta 1.413 0.000 3.233
Ta 1.413 2.859 0.049
Au 0.000 2.859 2.462
Au 1.413 0.000 7.860
```

Properties
N(E_F)   2.589 states/eV/f.u.

=====

Name the most stable of them. <ii>.

=====

<i>
KTl2Au2 | PBEsol | relaxed

The structure in extended XYZ format:
```
10
Lattice="5.154 0.000 0.000 0.000 5.154 0.000 0.000 0.000 10.446" Properties=species:S:1:pos:R:3 pbc="T T T"
K 0.000 0.000 0.000
K 2.577 2.577 5.223
Tl 0.000 0.000 3.715
Tl 0.000 0.000 6.731
Tl 2.577 2.577 1.508
Tl 2.577 2.577 8.938
Au 0.000 2.577 2.612
Au 0.000 2.577 7.835
Au 2.577 0.000 2.612
Au 2.577 0.000 7.835
```

Properties
N(E_F)   1.690 states/eV/f.u.

=====

<ii>
KTl2Au2 | PBEsol | relaxed

The structure in extended XYZ format:
```
10
Lattice="8.700 0.000 0.000 0.000 8.700 0.000 0.000 0.000 3.238" Properties=species:S:1:pos:R:3 pbc="T T T"
K 0.000 0.000 0.000
K 4.350 4.350 0.000
Tl 1.137 3.213 0.000
Tl 3.213 7.562 0.000
Tl 5.487 1.137 0.000
Tl 7.562 5.487 0.000
Au 1.454 5.804 1.619
Au 2.896 1.454 1.619
Au 5.804 7.246 1.619
Au 7.246 2.896 1.619
```

Properties
N(E_F)   1.807 states/eV/f.u.

=====

Name the most stable of them. <i>.